Entry 1:
YZn2Ni2 after structural relaxation, computed with PBEsol.

Cell: 3.819 3.819 10.582 Å, 90.00 90.00 90.00°
Space group I4/mmm (No. 139)
Unique sites:
Y  0.000  0.000  0.000
Zn  0.000  0.500  0.250
Ni  0.000  0.000  0.392

Crystal system = tetragonal
Energy relative to the elements = -357 meV per atom

Entry 2:
Cs2YPb2 after structural relaxation, computed with PBEsol.

Cell: 4.282 4.282 27.065 Å, 90.00 90.00 90.00°
Space group I4/mmm (No. 139)
Unique sites:
Cs  0.000  0.000  0.122
Y  0.000  0.000  0.500
Pb  0.000  0.500  0.250

Crystal system = tetragonal
Energy relative to the elements = 441 meV per atom

Entry 3:
CsSmSiS4 after structural relaxation, computed with PBEsol.

Cell: 6.363 6.634 17.605 Å, 90.00 90.00 90.00°
Space group P2_12_12_1 (No. 19)
Unique sites:
Cs  0.014  0.008  0.467
Sm  0.207  0.019  0.728
Si  0.210  0.516  0.334
S  0.054  0.013  0.094
S  0.068  0.250  0.856
S  0.105  0.751  0.848
S  0.116  0.567  0.220

Crystal system = orthorhombic
Raw formation energy = -1.483 eV per atom

Entry 4:
CuHg2HRh after structural relaxation, computed with PBEsol.

Cell: 4.534 4.534 3.376 Å, 90.00 90.00 90.00°
Space group P4/mmm (No. 123)
Unique sites:
Cu  0.000  0.000  0.000
Hg  0.000  0.500  0.500
H  0.500  0.500  0.500
Rh  0.500  0.500  0.000

DFT total energy = -0.234 Ry per atom
Crystal system = tetragonal

DOS at the Fermi energy across the listed records, respectively: 5.91, 15.24, 0.00, 1.62 states/eV/cell.
Density across the listed records, respectively: 7253, 5148, 3929, 13605 kg/m3.